(1)
VASP calculation (GGA-PBE) on a relaxed structure of HfSc2Tl.

a = 8.0364 Å, b = 8.0364 Å, c = 6.4430 Å
α = 51.42°, β = 51.42°, γ = 90.00°
Last column: nearest neighbours and their distance in Å.
Fractional positions:
Sc (0.6388, 0.1250, 0.2500)  2 Tl 2.87, 2 Hf 3.02, 2 Sc 3.04
Sc (0.1112, 0.6250, 0.2500)  2 Tl 2.87, 2 Hf 3.02, 2 Sc 3.04
Sc (0.3750, 0.3612, 0.7500)  2 Tl 2.87, 2 Hf 3.02, 2 Sc 3.04
Sc (0.8750, 0.8888, 0.7500)  2 Tl 2.87, 2 Hf 3.02, 2 Sc 3.04
Tl (0.0000, 0.0000, 0.0000)  4 Sc 2.87, 2 Hf 3.04
Tl (0.7500, 0.2500, 0.5000)  4 Sc 2.87, 2 Hf 3.04
Hf (0.5000, 0.5000, 0.0000)  4 Sc 3.02, 2 Tl 3.04
Hf (0.2500, 0.7500, 0.5000)  4 Sc 3.02, 2 Tl 3.04

Crystal system   tetragonal
M_tot   0.9 μB per formula unit
ΔH_f (0 K)   0.34 eV/atom
Energy relative to the lowest polymorph listed for this composition   482.5 meV per atom

---

(2)
VASP calculation (GGA-PBE) on a relaxed structure of CaZrP2S8.

a = 5.9989 Å, b = 5.9989 Å, c = 8.6495 Å
α = 90.00°, β = 90.00°, γ = 120.00°
Last column: nearest neighbours and their distance in Å.
Fractional positions:
Ca (0.0000, 0.0000, 0.0000)  12 S 3.39-3.47
Zr (0.0000, 0.0000, 0.5000)  6 S 2.57
P (0.6667, 0.3333, 0.2459)  4 S 1.99-2.08
P (0.3333, 0.6667, 0.7541)  4 S 1.99-2.08
S (0.3333, 0.6667, 0.9846)  1 P 1.99
S (0.3357, 0.3355, 0.3152)  1 P 2.08
S (0.6645, 0.0002, 0.3152)  1 P 2.08
S (0.6667, 0.3333, 0.0154)  1 P 1.99
S (0.3355, 0.9998, 0.6848)  1 P 2.08
S (0.6643, 0.6645, 0.6848)  1 P 2.08
S (0.0002, 0.3357, 0.6848)  1 P 2.08
S (0.9998, 0.6643, 0.3152)  1 P 2.08

Crystal system   trigonal
M_tot   0.0 μB per formula unit
Uncorrected formation energy   -0.7144 eV per atom

---

(3)
VASP calculation (GGA-PBE) on a relaxed structure of Cu2GeTe3.

a = 7.4059 Å, b = 8.5575 Å, c = 11.3152 Å
α = 112.17°, β = 89.97°, γ = 89.92°
Last column: nearest neighbours and their distance in Å.
Fractional positions:
Cu (0.4931, 0.7457, 0.9931)  4 Te 2.56-2.58
Cu (0.8280, 0.0828, 0.6668)  4 Te 2.56-2.58
Cu (0.1780, 0.4193, 0.3388)  4 Te 2.56-2.59
Cu (0.6596, 0.6676, 0.3379)  4 Te 2.58-2.61
Cu (0.0019, 0.9949, 0.9942)  4 Te 2.59-2.61
Cu (0.3369, 0.3377, 0.6661)  4 Te 2.58-2.60
Cu (0.5015, 0.2477, 0.9970)  4 Te 2.57
Cu (0.8335, 0.5866, 0.6700)  4 Te 2.57
Ge (0.1642, 0.9161, 0.3351)  4 Te 2.73-2.75
Ge (0.3406, 0.8246, 0.6680)  4 Te 2.66-2.75
Ge (0.6600, 0.1793, 0.3429)  4 Te 2.66-2.76
Ge (0.0006, 0.4958, 0.9899)  4 Te 2.67-2.75
Te (0.6796, 0.7904, 0.5834)  3 Cu 2.57-2.58, 1 Ge 2.66
Te (0.0040, 0.1367, 0.2424)  2 Cu 2.59-2.61, 2 Ge 2.75-2.76
Te (0.3452, 0.4540, 0.9139)  3 Cu 2.56-2.60, 1 Ge 2.67
Te (0.3359, 0.9633, 0.9224)  3 Cu 2.57-2.59, 1 Ge 2.67
Te (0.6715, 0.3009, 0.5970)  3 Cu 2.56-2.58, 1 Ge 2.66
Te (0.9906, 0.6097, 0.2523)  2 Cu 2.59-2.61, 2 Ge 2.75
Te (0.8280, 0.1994, 0.9132)  3 Cu 2.57-2.60, 1 Ge 2.68
Te (0.1579, 0.5353, 0.5829)  3 Cu 2.56-2.59, 1 Ge 2.66
Te (0.5080, 0.8633, 0.2395)  2 Cu 2.58-2.59, 2 Ge 2.74-2.75
Te (0.8234, 0.7149, 0.9150)  3 Cu 2.57-2.59, 1 Ge 2.67
Te (0.1613, 0.0552, 0.5958)  2 Cu 2.58-2.59, 2 Ge 2.73-2.75
Te (0.4966, 0.3790, 0.2424)  3 Cu 2.57-2.59, 1 Ge 2.67

Crystal system   triclinic
M_tot   0.0 μB per formula unit
Uncorrected formation energy   -0.0903 eV per atom
Energy relative to the lowest polymorph listed for this composition   7.2 meV per atom

---

(4)
VASP calculation (GGA-PBE) on a relaxed structure of AcTbPt4.

a = 5.5550 Å, b = 5.5550 Å, c = 5.5550 Å
α = 60.00°, β = 60.00°, γ = 60.00°
Last column: nearest neighbours and their distance in Å.
Fractional positions:
Ac (0.0000, 0.0000, 0.0000)  12 Pt 3.26, 4 Tb 3.40
Tb (0.2500, 0.2500, 0.2500)  12 Pt 3.26, 4 Ac 3.40
Pt (0.6246, 0.6246, 0.1263)  6 Pt 2.77-2.79
Pt (0.6246, 0.1263, 0.6246)  6 Pt 2.77-2.79
Pt (0.6246, 0.6246, 0.6246)  6 Pt 2.77-2.79
Pt (0.1263, 0.6246, 0.6246)  6 Pt 2.77-2.79

Crystal system   cubic
M_tot   0.0 μB per formula unit
ΔH_f (0 K)   -1.04 eV/atom

---

(5)
VASP calculation (GGA-PBE) on a relaxed structure of RbInHgAu2.

a = 5.4102 Å, b = 5.4102 Å, c = 5.7316 Å
α = 90.00°, β = 90.00°, γ = 90.00°
Last column: nearest neighbours and their distance in Å.
Fractional positions:
Au (0.0000, 0.5000, 0.0000)  2 In 2.71
Au (0.5000, 0.0000, 0.0000)  2 In 2.71
Hg (0.0000, 0.0000, 0.5000)  2 In 2.87
Rb (0.5000, 0.5000, 0.5000)  4 Hg 3.83, 8 Au 3.94
In (0.0000, 0.0000, 0.0000)  4 Au 2.71, 2 Hg 2.87

Crystal system   tetragonal
M_tot   0.0 μB per formula unit
ΔH_f (0 K)   -0.12 eV/atom
Energy relative to the lowest polymorph listed for this composition   70.9 meV per atom

---

(6)
VASP calculation (GGA-PBE) on a relaxed structure of SrAcLaIr.

a = 4.3220 Å, b = 4.3250 Å, c = 10.5076 Å
α = 78.09°, β = 90.00°, γ = 119.98°
Last column: nearest neighbours and their distance in Å.
Fractional positions:
Sr (0.9876, 0.9751, 0.2322)  6 Sr 4.32, 3 La 4.35, 3 Ac 4.36
Ac (0.2033, 0.4066, 0.5826)  3 Ir 2.97-2.98
La (0.4370, 0.8739, 0.8828)  3 Ir 2.88
Ir (0.8173, 0.6345, 0.7414)  3 La 2.88, 3 Ac 2.97-2.98

Crystal system   monoclinic
M_tot   0.0 μB per formula unit
ΔH_f (0 K)   -0.45 eV/atom

---

(7)
VASP calculation (GGA-PBE) on a relaxed structure of AlIF2.

a = 5.8630 Å, b = 5.8630 Å, c = 5.8630 Å
α = 60.00°, β = 60.00°, γ = 60.00°
Last column: nearest neighbours and their distance in Å.
Fractional positions:
Al (0.2500, 0.2500, 0.2500)  4 F 1.80
Al (0.0000, 0.0000, 0.0000)  4 F 1.80
I (0.7500, 0.7500, 0.7500)  12 F 3.44, 4 Al 3.59, 4 I 3.59
I (0.5000, 0.5000, 0.5000)  12 F 3.44, 4 I 3.59, 4 Al 3.59
F (0.1250, 0.6250, 0.1250)  2 Al 1.80
F (0.6250, 0.1250, 0.1250)  2 Al 1.80
F (0.1250, 0.1250, 0.1250)  2 Al 1.80
F (0.1250, 0.1250, 0.6250)  2 Al 1.80

Crystal system   cubic
M_tot   0.0 μB per formula unit
Uncorrected formation energy   -2.0979 eV per atom
Energy relative to the lowest polymorph listed for this composition   0.0 meV per atom

---

(8)
VASP calculation (GGA-PBE) on a relaxed structure of UVB.

a = 2.9378 Å, b = 2.9378 Å, c = 5.0855 Å
α = 106.79°, β = 106.79°, γ = 90.00°
Last column: nearest neighbours and their distance in Å.
Fractional positions:
B (0.9146, 0.9146, 0.8292)  4 V 2.21
U (0.6027, 0.6027, 0.2054)  1 V 2.51, 4 B 2.71
V (0.3327, 0.3327, 0.6654)  4 B 2.21

Crystal system   tetragonal
M_tot   0.0 μB per formula unit
ΔH_f (0 K)   -0.01 eV/atom
Energy relative to the lowest polymorph listed for this composition   157.7 meV per atom

---

(9)
VASP calculation (GGA-PBE) on a relaxed structure of TbCo2B4.

a = 3.0866 Å, b = 3.2638 Å, c = 7.2593 Å
α = 102.99°, β = 102.27°, γ = 90.00°
Last column: nearest neighbours and their distance in Å.
Fractional positions:
Co (0.8062, 0.8062, 0.6125)  3 B 2.02-2.03
Co (0.1938, 0.1938, 0.3875)  3 B 2.02-2.03
B (0.6591, 0.6591, 0.3181)  2 B 1.70
B (0.3409, 0.3409, 0.6819)  2 B 1.70
B (0.1072, 0.6072, 0.2145)  2 B 1.70
B (0.8928, 0.3928, 0.7855)  2 B 1.70
Tb (0.5000, 0.0000, 0.0000)  12 B 2.69-2.74

Crystal system   orthorhombic
M_tot   0.0 μB per formula unit
ΔH_f (0 K)   -0.33 eV/atom

---

(10)
VASP calculation (GGA-PBE) on a relaxed structure of Cs2KRbP.

a = 7.0261 Å, b = 7.0261 Å, c = 6.8942 Å
α = 90.00°, β = 90.00°, γ = 90.00°
Last column: nearest neighbours and their distance in Å.
Fractional positions:
Cs (0.0000, 0.5000, 0.0000)  2 P 3.51
Cs (0.5000, 0.0000, 0.0000)  2 P 3.51
P (0.0000, 0.0000, 0.0000)  2 Rb 3.45, 4 Cs 3.51
K (0.5000, 0.5000, 0.5000)  8 Cs 4.92, 4 Rb 4.97
Rb (0.0000, 0.0000, 0.5000)  2 P 3.45

Crystal system   tetragonal
M_tot   1.0 μB per formula unit
ΔH_f (0 K)   0.01 eV/atom
Energy relative to the lowest polymorph listed for this composition   12.8 meV per atom

---

(11)
VASP calculation (GGA-PBE) on a relaxed structure of Tm3CoTe.

a = 4.1003 Å, b = 7.5643 Å, c = 16.1461 Å
α = 90.00°, β = 90.00°, γ = 90.00°
Last column: nearest neighbours and their distance in Å.
Fractional positions:
Tm (0.2500, 0.3556, 0.5457)  2 Co 2.66
Tm (0.7500, 0.8242, 0.1978)  1 Co 2.60
Tm (0.7500, 0.4863, 0.9097)  3 Co 2.75-2.84
Tm (0.7500, 0.9863, 0.5903)  3 Co 2.75-2.84
Tm (0.7500, 0.6444, 0.4543)  2 Co 2.66
Tm (0.2500, 0.0137, 0.4097)  3 Co 2.75-2.84
Tm (0.2500, 0.8556, 0.9543)  2 Co 2.66
Tm (0.7500, 0.3242, 0.3022)  1 Co 2.60
Tm (0.2500, 0.6758, 0.6978)  1 Co 2.60
Tm (0.2500, 0.1758, 0.8022)  1 Co 2.60
Tm (0.7500, 0.1444, 0.0457)  2 Co 2.66
Tm (0.2500, 0.5137, 0.0903)  3 Co 2.75-2.84
Co (0.2500, 0.2672, 0.9575)  6 Tm 2.60-2.84
Co (0.2500, 0.7672, 0.5425)  6 Tm 2.60-2.84
Co (0.7500, 0.2328, 0.4575)  6 Tm 2.60-2.84
Co (0.7500, 0.7328, 0.0425)  6 Tm 2.60-2.84
Te (0.7500, 0.8703, 0.8004)  6 Tm 3.02-3.22
Te (0.2500, 0.1297, 0.1996)  6 Tm 3.02-3.22
Te (0.7500, 0.3703, 0.6996)  6 Tm 3.02-3.22
Te (0.2500, 0.6297, 0.3004)  6 Tm 3.02-3.22

Crystal system   orthorhombic
M_tot   0.0 μB per formula unit
Uncorrected formation energy   -0.5975 eV per atom
Energy relative to the lowest polymorph listed for this composition   0.0 meV per atom

---

(12)
VASP calculation (GGA-PBE) on a relaxed structure of LiCuTc4.

a = 5.1008 Å, b = 5.1008 Å, c = 5.1008 Å
α = 60.00°, β = 60.00°, γ = 60.00°
Last column: nearest neighbours and their distance in Å.
Fractional positions:
Li (0.0000, 0.0000, 0.0000)  12 Tc 2.99, 4 Cu 3.12
Cu (0.2500, 0.2500, 0.2500)  12 Tc 2.99, 4 Li 3.12
Tc (0.6249, 0.6249, 0.1252)  6 Tc 2.55
Tc (0.6249, 0.1252, 0.6249)  6 Tc 2.55
Tc (0.6249, 0.6249, 0.6249)  6 Tc 2.55
Tc (0.1252, 0.6249, 0.6249)  6 Tc 2.55

Crystal system   cubic
M_tot   0.0 μB per formula unit
ΔH_f (0 K)   0.54 eV/atom

---

(13)
VASP calculation (GGA-PBE) on a relaxed structure of Er7TlNi2.

a = 4.8970 Å, b = 8.0695 Å, c = 8.0695 Å
α = 113.73°, β = 90.00°, γ = 90.00°
Last column: nearest neighbours and their distance in Å.
Fractional positions:
Er (0.0000, 0.7064, 0.2936)  2 Ni 2.45
Er (0.0000, 0.2936, 0.7064)  2 Ni 2.45
Er (0.5000, 0.0541, 0.3152)  2 Ni 2.77-2.95
Er (0.5000, 0.9459, 0.6848)  2 Ni 2.77-2.95
Er (0.5000, 0.3152, 0.0541)  2 Ni 2.77-2.95
Er (0.5000, 0.6848, 0.9459)  2 Ni 2.77-2.95
Er (0.5000, 0.5000, 0.5000)  2 Ni 2.76
Tl (0.0000, 0.0000, 0.0000)  8 Er 3.43
Ni (0.5000, 0.7039, 0.2961)  2 Er 2.45
Ni (0.5000, 0.2961, 0.7039)  2 Er 2.45

Crystal system   orthorhombic
M_tot   0.0 μB per formula unit
ΔH_f (0 K)   -0.06 eV/atom

---

(14)
VASP calculation (GGA-PBE) on a relaxed structure of CeReB.

a = 4.7023 Å, b = 4.7023 Å, c = 5.2740 Å
α = 90.00°, β = 90.00°, γ = 69.35°
Last column: nearest neighbours and their distance in Å.
Fractional positions:
Re (0.5442, 0.5442, 0.2500)  1 B 1.94
Re (0.4558, 0.4558, 0.7500)  1 B 1.94
Ce (0.8469, 0.8469, 0.7500)  5 B 2.67-2.89, 2 Re 2.80
Ce (0.1531, 0.1531, 0.2500)  5 B 2.67-2.89, 2 Re 2.80
B (0.2046, 0.2046, 0.7500)  1 Re 1.94
B (0.7954, 0.7954, 0.2500)  1 Re 1.94

Crystal system   orthorhombic
M_tot   0.0 μB per formula unit
ΔH_f (0 K)   0.30 eV/atom
Energy relative to the lowest polymorph listed for this composition   401.6 meV per atom

---

(15)
VASP calculation (GGA-PBE) on a relaxed structure of Dy6ScAl2.

a = 3.5986 Å, b = 6.4716 Å, c = 11.4542 Å
α = 74.30°, β = 80.96°, γ = 73.86°
Last column: nearest neighbours and their distance in Å.
Fractional positions:
Dy (0.6771, 0.5247, 0.1210)  2 Al 3.12, 5 Dy 3.33-3.45, 2 Sc 3.45
Dy (0.3229, 0.4753, 0.8790)  2 Al 3.12, 5 Dy 3.33-3.45, 2 Sc 3.45
Dy (0.3089, 0.7871, 0.5950)  2 Al 3.27, 10 Dy 3.33-3.60
Dy (0.9724, 0.7223, 0.3329)  2 Al 3.12, 3 Dy 3.34-3.45
Dy (0.0276, 0.2777, 0.6671)  2 Al 3.12, 3 Dy 3.34-3.45
Dy (0.6911, 0.2129, 0.4050)  2 Al 3.27, 10 Dy 3.33-3.60
Sc (0.0000, 0.0000, 0.0000)  4 Al 2.95
Al (0.3561, 0.1022, 0.1856)  2 Sc 2.95, 6 Dy 3.12-3.27
Al (0.6439, 0.8978, 0.8144)  2 Sc 2.95, 6 Dy 3.12-3.27

Crystal system   monoclinic
M_tot   0.0 μB per formula unit
ΔH_f (0 K)   -0.16 eV/atom

---

(16)
VASP calculation (GGA-PBE) on a relaxed structure of CaMgSc2Rh.

a = 5.0062 Å, b = 5.2336 Å, c = 5.0062 Å
α = 90.00°, β = 90.00°, γ = 90.00°
Last column: nearest neighbours and their distance in Å.
Fractional positions:
Sc (0.0000, 0.0000, 0.5000)  2 Rh 2.50
Sc (0.5000, 0.0000, 0.0000)  2 Rh 2.50
Ca (0.5000, 0.5000, 0.5000)  4 Mg 3.54, 8 Sc 3.62
Rh (0.0000, 0.0000, 0.0000)  4 Sc 2.50, 2 Mg 2.62
Mg (0.0000, 0.5000, 0.0000)  2 Rh 2.62

Crystal system   tetragonal
M_tot   0.0 μB per formula unit
ΔH_f (0 K)   -0.28 eV/atom

---

(17)
VASP calculation (GGA-PBE) on a relaxed structure of Pm2Er5.

a = 6.2635 Å, b = 9.1836 Å, c = 8.4405 Å
α = 95.53°, β = 111.78°, γ = 90.00°
Last column: nearest neighbours and their distance in Å.
Fractional positions:
Pm (0.2595, 0.3925, 0.8548)  10 Er 3.49-3.64, 2 Pm 3.55-3.64
Pm (0.4048, 0.1075, 0.1452)  10 Er 3.49-3.64, 2 Pm 3.55-3.64
Pm (0.7405, 0.6075, 0.1452)  10 Er 3.49-3.64, 2 Pm 3.55-3.64
Pm (0.5952, 0.8925, 0.8548)  10 Er 3.49-3.64, 2 Pm 3.55-3.64
Er (0.3096, 0.4652, 0.2898)  8 Er 3.46-3.64, 4 Pm 3.52-3.64
Er (0.0198, 0.0348, 0.7102)  8 Er 3.46-3.64, 4 Pm 3.52-3.64
Er (0.1188, 0.6785, 0.5713)  9 Er 3.48-3.62, 3 Pm 3.49-3.61
Er (0.5475, 0.8215, 0.4287)  9 Er 3.48-3.62, 3 Pm 3.49-3.61
Er (0.8812, 0.3215, 0.4287)  9 Er 3.48-3.62, 3 Pm 3.49-3.61
Er (0.4525, 0.1785, 0.5713)  9 Er 3.48-3.62, 3 Pm 3.49-3.61
Er (0.9802, 0.9652, 0.2898)  8 Er 3.46-3.64, 4 Pm 3.52-3.64
Er (0.6904, 0.5348, 0.7102)  8 Er 3.46-3.64, 4 Pm 3.52-3.64
Er (0.8346, 0.2500, 0.0000)  6 Er 3.52-3.64, 6 Pm 3.52-3.64
Er (0.1654, 0.7500, 0.0000)  6 Er 3.52-3.64, 6 Pm 3.52-3.64

Crystal system   monoclinic
M_tot   0.0 μB per formula unit
ΔH_f (0 K)   0.01 eV/atom

---

(18)
VASP calculation (GGA-PBE) on a relaxed structure of Cr2CuAg.

a = 2.5435 Å, b = 2.5435 Å, c = 8.2283 Å
α = 90.00°, β = 90.00°, γ = 90.13°
Last column: nearest neighbours and their distance in Å.
Fractional positions:
Ag (0.5000, 0.5000, 0.7500)  4 Ag 2.54
Cr (0.0000, 0.0000, 0.0199)  4 Cr 2.54, 4 Cu 2.61
Cr (0.0000, 0.0000, 0.4801)  4 Cr 2.54, 4 Cu 2.61
Cu (0.5000, 0.5000, 0.2500)  4 Cu 2.54, 8 Cr 2.61

Crystal system   orthorhombic
M_tot   0.9 μB per formula unit
ΔH_f (0 K)   0.58 eV/atom
Energy relative to the lowest polymorph listed for this composition   291.9 meV per atom

---

(19)
VASP calculation (GGA-PBE) on a relaxed structure of V2ZnNi2.

a = 7.2196 Å, b = 7.2196 Å, c = 2.5197 Å
α = 90.00°, β = 90.00°, γ = 90.00°
Last column: nearest neighbours and their distance in Å.
Fractional positions:
Ni (0.1761, 0.6761, 0.5000)  6 V 2.45-2.50, 2 Ni 2.52
Ni (0.6761, 0.8239, 0.5000)  6 V 2.45-2.50, 2 Ni 2.52
Ni (0.8239, 0.3239, 0.5000)  6 V 2.45-2.50, 2 Ni 2.52
Ni (0.3239, 0.1761, 0.5000)  6 V 2.45-2.50, 2 Ni 2.52
Zn (0.0000, 0.0000, 0.0000)  2 Zn 2.52
Zn (0.5000, 0.5000, 0.0000)  2 Zn 2.52
V (0.3822, 0.8822, 0.0000)  3 V 2.41-2.52, 6 Ni 2.45-2.50
V (0.8822, 0.6178, 0.0000)  3 V 2.41-2.52, 6 Ni 2.45-2.50
V (0.6178, 0.1178, 0.0000)  3 V 2.41-2.52, 6 Ni 2.45-2.50
V (0.1178, 0.3822, 0.0000)  3 V 2.41-2.52, 6 Ni 2.45-2.50

Crystal system   tetragonal
M_tot   0.0 μB per formula unit
ΔH_f (0 K)   0.05 eV/atom

---

(20)
VASP calculation (GGA-PBE) on a relaxed structure of Cu2Sb2Pb.

a = 4.4244 Å, b = 4.4244 Å, c = 6.6244 Å
α = 70.49°, β = 70.49°, γ = 90.00°
Last column: nearest neighbours and their distance in Å.
Fractional positions:
Pb (0.0000, 0.0000, 0.0000)  8 Cu 3.36, 8 Sb 3.66
Sb (0.7500, 0.2500, 0.5000)  4 Cu 2.79
Sb (0.2500, 0.7500, 0.5000)  4 Cu 2.79
Cu (0.3951, 0.3951, 0.2098)  1 Cu 2.45
Cu (0.6049, 0.6049, 0.7902)  1 Cu 2.45

Crystal system   tetragonal
M_tot   0.0 μB per formula unit
Uncorrected formation energy   0.2018 eV per atom
Energy relative to the lowest polymorph listed for this composition   65.5 meV per atom